Record 1
Np3Bi8 | PBE | optimized geometry

E_form ... 22 meV/atom
Total DFT energy (no corrections) ... -6.3294 eV/atom
Symmetry ... No. 12
Mass density ... 12073 kg/m3

a b c (Å): 4.5073 6.3570 12.4196
angles (deg): 99.29 90.00 110.76
Site moments in Bohr magnetons follow the coordinates.
Sites, in units of the cell vectors:
Np (0.0854, 0.1709, 0.6518)  -4.08
Bi (0.8122, 0.6243, 0.7263)  -0.01
Bi (0.5436, 0.0872, 0.8248)  -0.01
Bi (0.2748, 0.5495, 0.9057)  0.00
Bi (0.3779, 0.7557, 0.5432)  0.02
Np (0.9146, 0.8291, 0.3482)  -4.08
Bi (0.4564, 0.9128, 0.1752)  -0.01
Bi (0.6221, 0.2443, 0.4568)  0.02
Np (0.0000, 0.0000, 0.0000)  4.07
Bi (0.7252, 0.4505, 0.0943)  0.00
Bi (0.1878, 0.3757, 0.2737)  -0.01



Record 2
RbIn3Ru | PBE | optimized geometry

E_form ... 1887 meV/atom
Energy above the most stable polymorph in this dataset ... 10.04 eV/f.u.
Total DFT energy (no corrections) ... -1.8048 eV/atom
Symmetry ... No. 221
Mass density ... 3996 kg/m3

a b c (Å): 6.0426 6.0426 6.0426
angles (deg): 90.00 90.00 90.00
Site moments in Bohr magnetons follow the coordinates.
Sites, in units of the cell vectors:
Ru (0.5000, 0.5000, 0.5000)  2.45
In (0.5000, 0.0000, 0.0000)  -0.05
In (0.0000, 0.5000, 0.0000)  -0.06
Rb (0.0000, 0.0000, 0.0000)  -0.03
In (0.0000, 0.0000, 0.5000)  -0.05



Record 3
Y2InAgPt | PBE | optimized geometry

E_form ... 503 meV/atom
Total DFT energy (no corrections) ... -4.4084 eV/atom
Symmetry ... No. 123
Mass density ... 6350 kg/m3

a b c (Å): 5.6378 4.9002 5.6378
angles (deg): 90.00 90.00 90.00
Sites, in units of the cell vectors:
Y (0.5000, 0.0000, 0.0000)
Pt (0.5000, 0.5000, 0.5000)
Y (0.0000, 0.0000, 0.5000)
In (0.0000, 0.0000, 0.0000)
Ag (0.0000, 0.5000, 0.0000)



Record 4
Pm6Pt2CBr3 | PBE | optimized geometry

Total DFT energy (no corrections) ... -5.6409 eV/atom
Symmetry ... No. 12
Uncorrected formation energy ... -12.9 eV/f.u.
Mass density ... 7705 kg/m3

a b c (Å): 7.0693 7.0693 7.8724
angles (deg): 98.46 98.46 119.95
Sites, in units of the cell vectors:
Pm (0.6329, 0.9366, 0.8066)
Br (0.5000, 0.5000, 0.5000)
Pm (0.9366, 0.6329, 0.8066)
Pm (0.7581, 0.7581, 0.1940)
Pm (0.3671, 0.0634, 0.1934)
Pm (0.0634, 0.3671, 0.1934)
Br (0.1646, 0.8354, 0.5000)
C (0.0000, 0.0000, 0.0000)
Pt (0.6669, 0.3331, 0.0000)
Pm (0.2419, 0.2419, 0.8060)
Pt (0.3331, 0.6669, 0.0000)
Br (0.8354, 0.1646, 0.5000)



Record 5
Y3Ga9Fe2 | PBE | optimized geometry

E_form ... -469 meV/atom
Total DFT energy (no corrections) ... -5.0085 eV/atom
Symmetry ... No. 71
Mass density ... 6754 kg/m3

a b c (Å): 4.2103 8.0819 8.0819
angles (deg): 71.74 74.90 74.90
Site moments in Bohr magnetons follow the coordinates.
Sites, in units of the cell vectors:
Fe (0.5000, 0.6830, 0.3170)  1.74
Ga (0.3473, 0.0154, 0.2900)  -0.01
Y (0.6954, 0.3046, 0.3046)  -0.09
Ga (0.6527, 0.7100, 0.9846)  -0.01
Ga (0.3473, 0.2900, 0.0154)  -0.01
Ga (0.1299, 0.1543, 0.5858)  -0.02
Ga (0.8701, 0.8457, 0.4142)  -0.02
Ga (0.0000, 0.5000, 0.5000)  -0.03
Fe (0.5000, 0.3170, 0.6830)  1.74
Y (0.3046, 0.6954, 0.6954)  -0.09
Ga (0.8701, 0.4142, 0.8457)  -0.02
Ga (0.6527, 0.9846, 0.7100)  -0.01
Ga (0.1299, 0.5858, 0.1543)  -0.02
Y (0.0000, 0.0000, 0.0000)  -0.07



Record 6
La2Ag2W | PBE | optimized geometry

E_form ... 646 meV/atom
Energy above the most stable polymorph in this dataset ... 1.26 eV/f.u.
Total DFT energy (no corrections) ... -5.0558 eV/atom
Symmetry ... No. 127
Mass density ... 8470 kg/m3

a b c (Å): 8.1217 8.1217 4.0269
angles (deg): 90.00 90.00 90.00
Site moments in Bohr magnetons follow the coordinates.
Sites, in units of the cell vectors:
Ag (0.3745, 0.1255, 0.5000)  -0.01
La (0.1748, 0.3252, 0.0000)  0.02
W (0.5000, 0.5000, 0.0000)  1.03
La (0.8252, 0.6748, 0.0000)  0.02
La (0.3252, 0.8252, 0.0000)  0.04
W (0.0000, 0.0000, 0.0000)  1.03
La (0.6748, 0.1748, 0.0000)  0.04
Ag (0.6255, 0.8745, 0.5000)  -0.01
Ag (0.8745, 0.3745, 0.5000)  -0.01
Ag (0.1255, 0.6255, 0.5000)  -0.01



Record 7
Tb5NpSb6 | PBE | optimized geometry

Total DFT energy (no corrections) ... -6.0537 eV/atom
Symmetry ... No. 12
Uncorrected formation energy ... -11.8 eV/f.u.
Mass density ... 8078 kg/m3

a b c (Å): 7.6261 7.6261 7.6283
angles (deg): 99.59 99.59 120.01
Site moments in Bohr magnetons follow the coordinates.
Sites, in units of the cell vectors:
Tb (0.6666, 0.3334, 0.0000)  0.00
Sb (0.2494, 0.2494, 0.7509)  -0.03
Sb (0.5843, 0.9167, 0.7500)  -0.03
Sb (0.9167, 0.5843, 0.7500)  -0.03
Sb (0.4157, 0.0833, 0.2500)  -0.03
Np (0.0000, 0.0000, 0.0000)  3.83
Sb (0.0833, 0.4157, 0.2500)  -0.03
Sb (0.7506, 0.7506, 0.2491)  -0.03
Tb (0.1670, 0.8330, 0.5000)  -0.01
Tb (0.8330, 0.1670, 0.5000)  -0.01
Tb (0.3334, 0.6666, 0.0000)  0.00
Tb (0.5000, 0.5000, 0.5000)  -0.01



Record 8
PmCo6Si4 | PBE | optimized geometry

Total DFT energy (no corrections) ... -6.8921 eV/atom
Symmetry ... No. 187
Uncorrected formation energy ... -6.7 eV/f.u.
Mass density ... 7332 kg/m3

a b c (Å): 3.6434 6.6223 6.6223
angles (deg): 120.00 90.00 90.00
Sites, in units of the cell vectors:
Si (0.0000, 0.3333, 0.6667)
Co (0.0000, 0.9317, 0.4659)
Co (0.5000, 0.2062, 0.4124)
Co (0.0000, 0.5341, 0.0683)
Si (0.5000, 0.7991, 0.5981)
Si (0.5000, 0.7991, 0.2009)
Si (0.5000, 0.4019, 0.2009)
Co (0.0000, 0.5341, 0.4659)
Co (0.5000, 0.2062, 0.7938)
Pm (0.0000, 0.0000, 0.0000)
Co (0.5000, 0.5876, 0.7938)



Record 9
TaAg2Se | PBE | optimized geometry

Total DFT energy (no corrections) ... -4.9380 eV/atom
Symmetry ... No. 12
Uncorrected formation energy ... 1.3 eV/f.u.
Mass density ... 10601 kg/m3

a b c (Å): 5.6729 5.6729 2.9052
angles (deg): 83.54 83.54 124.77
Sites, in units of the cell vectors:
Ag (0.5000, 0.5000, 0.0000)
Ta (0.0000, 0.5000, 0.5000)
Ag (0.0000, 0.0000, 0.0000)
Se (0.5000, 0.0000, 0.5000)



Record 10
Y2HoZn12Cu3 | PBE | optimized geometry

E_form ... -20 meV/atom
Total DFT energy (no corrections) ... -2.5241 eV/atom
Symmetry ... No. 166
Mass density ... 6512 kg/m3

a b c (Å): 9.8969 9.8969 9.8969
angles (deg): 38.41 38.41 38.41
Sites, in units of the cell vectors:
Zn (0.8733, 0.8733, 0.4678)
Zn (0.6789, 0.2813, 0.6789)
Ho (0.0000, 0.0000, 0.0000)
Cu (0.5000, 0.0000, 0.0000)
Y (0.6431, 0.6431, 0.6431)
Zn (0.1267, 0.1267, 0.5322)
Zn (0.4678, 0.8733, 0.8733)
Y (0.3569, 0.3569, 0.3569)
Zn (0.3211, 0.7187, 0.3211)
Zn (0.3211, 0.3211, 0.7187)
Zn (0.7187, 0.3211, 0.3211)
Zn (0.6789, 0.6789, 0.2813)
Cu (0.0000, 0.5000, 0.0000)
Cu (0.0000, 0.0000, 0.5000)
Zn (0.1267, 0.5322, 0.1267)
Zn (0.8733, 0.4678, 0.8733)
Zn (0.2813, 0.6789, 0.6789)
Zn (0.5322, 0.1267, 0.1267)



> Among the records above, which one has the lowest mass density?

RbIn3Ru